(1)
# Ge2IrSe | OQMD via LeMat-Bulk | GGA-PBE | optimized geometry
data_Ge2IrSe
_cell_length_a 5.953
_cell_length_b 3.593
_cell_length_c 7.124
_cell_angle_alpha 90.00
_cell_angle_beta 96.33
_cell_angle_gamma 90.00
_symmetry_space_group_name_H-M 'P 1 21/m 1'
_symmetry_Int_Tables_number 11
loop_
_symmetry_equiv_pos_as_xyz
'x,y,z'
'-x,-y,-z'
'-x,y+1/2,-z'
'x,-y+1/2,z'
loop_
_atom_site_label
_atom_site_type_symbol
_atom_site_fract_x
_atom_site_fract_y
_atom_site_fract_z
_atom_site_occupancy
Ge1 Ge 0.104 0.250 0.140 1
Ge2 Ge 0.386 0.250 0.727 1
Ir1 Ir 0.314 0.750 0.962 1
Se1 Se 0.230 0.750 0.422 1
# Final energy, eV/atom: -5.46
# Mass density, g/cm³: 9.1
# Calculated volume, Å³ per cell: 151.5
# Total magnetization, μB/f.u.: 0.0

---

(2)
# Ge2IrSe | OQMD via LeMat-Bulk | GGA-PBE | optimized geometry
data_Ge2IrSe
_cell_length_a 3.684
_cell_length_b 5.711
_cell_length_c 7.161
_cell_angle_alpha 90.00
_cell_angle_beta 90.00
_cell_angle_gamma 90.00
_symmetry_space_group_name_H-M 'P m n 21'
_symmetry_Int_Tables_number 31
loop_
_symmetry_equiv_pos_as_xyz
'x,y,z'
'-x+1/2,-y,z+1/2'
'-x,y,z'
'x+1/2,-y,z+1/2'
loop_
_atom_site_label
_atom_site_type_symbol
_atom_site_fract_x
_atom_site_fract_y
_atom_site_fract_z
_atom_site_occupancy
Ge1 Ge 0.000 0.033 0.000 1
Ge2 Ge 0.000 0.465 0.628 1
Ir1 Ir 0.000 0.753 0.312 1
Se1 Se 0.000 0.250 0.313 1
# Final energy, eV/atom: -5.32
# Mass density, g/cm³: 9.2
# Calculated volume, Å³ per cell: 150.6
# Total magnetization, μB/f.u.: 0.0

---

(3)
# Ge3Ir2Se3 | OQMD via LeMat-Bulk | GGA-PBE | optimized geometry
data_Ge3Ir2Se3
_cell_length_a 12.2492
_cell_length_b 12.2492
_cell_length_c 15.0735
_cell_angle_alpha 90.00
_cell_angle_beta 90.00
_cell_angle_gamma 120.00
_symmetry_space_group_name_H-M 'R -3'
_symmetry_Int_Tables_number 148
_symmetry_space_group_name_Hall '-R 3'
loop_
_atom_site_label
_atom_site_type_symbol
_atom_site_fract_x
_atom_site_fract_y
_atom_site_fract_z
_atom_site_occupancy
Ge1 Ge 0.0097 0.1716 0.3404 1
Ge2 Ge 0.0612 0.6048 0.6071 1
Ir1 Ir 0.0000 0.0000 0.2529 1
Ir2 Ir 0.0012 0.4976 0.7498 1
Se1 Se 0.0236 0.1868 0.8338 1
Se2 Se 0.0504 0.5970 0.0967 1
# Mass density, g/cm³: 8.5
# Calculated volume, Å³ per cell: 1958.7
# Energy relative to the lowest polymorph listed for this composition, eV per atom: 0.0000
# Total magnetization, μB/f.u.: 0.0

---

(4)
# SiGeIr2 | OQMD via LeMat-Bulk | GGA-PBE | optimized geometry
data_SiGeIr2
_cell_length_a 3.420
_cell_length_b 6.338
_cell_length_c 5.613
_cell_angle_alpha 90.00
_cell_angle_beta 90.00
_cell_angle_gamma 90.00
_symmetry_space_group_name_H-M 'P m c 21'
_symmetry_Int_Tables_number 26
loop_
_symmetry_equiv_pos_as_xyz
'x,y,z'
'-x,-y,z+1/2'
'-x,y,z'
'x,-y,z+1/2'
loop_
_atom_site_label
_atom_site_type_symbol
_atom_site_fract_x
_atom_site_fract_y
_atom_site_fract_z
_atom_site_occupancy
Si1 Si 0.000 0.180 0.000 1
Ge1 Ge 0.500 0.320 0.374 1
Ir1 Ir 0.000 0.450 0.688 1
Ir2 Ir 0.500 0.040 0.690 1
# Mass density, g/cm³: 13.2
# Calculated volume, Å³ per cell: 121.7
# Energy relative to the lowest polymorph listed for this composition, eV per atom: 0.0260
# Total magnetization, μB/f.u.: 0.0

---

(5)
# SiGeIr2 | OQMD via LeMat-Bulk | GGA-PBE | optimized geometry
data_SiGeIr2
_cell_length_a 5.600
_cell_length_b 3.412
_cell_length_c 6.368
_cell_angle_alpha 90.00
_cell_angle_beta 90.13
_cell_angle_gamma 90.00
_symmetry_space_group_name_H-M 'P 1 21/m 1'
_symmetry_Int_Tables_number 11
loop_
_symmetry_equiv_pos_as_xyz
'x,y,z'
'-x,-y,-z'
'-x,y+1/2,-z'
'x,-y+1/2,z'
loop_
_atom_site_label
_atom_site_type_symbol
_atom_site_fract_x
_atom_site_fract_y
_atom_site_fract_z
_atom_site_occupancy
Si1 Si 0.185 0.250 0.068 1
Ge1 Ge 0.310 0.750 0.569 1
Ir1 Ir 0.001 0.250 0.719 1
Ir2 Ir 0.495 0.750 0.194 1
# Mass density, g/cm³: 13.2
# Calculated volume, Å³ per cell: 121.7
# Energy relative to the lowest polymorph listed for this composition, eV per atom: 0.0000
# Total magnetization, μB/f.u.: 0.0

---

(6)
# SiGeIr2 | OQMD via LeMat-Bulk | GGA-PBE | optimized geometry
data_SiGeIr2
_cell_length_a 3.388
_cell_length_b 5.634
_cell_length_c 6.339
_cell_angle_alpha 90.00
_cell_angle_beta 90.00
_cell_angle_gamma 90.00
_symmetry_space_group_name_H-M 'P m n 21'
_symmetry_Int_Tables_number 31
loop_
_symmetry_equiv_pos_as_xyz
'x,y,z'
'-x+1/2,-y,z+1/2'
'-x,y,z'
'x+1/2,-y,z+1/2'
loop_
_atom_site_label
_atom_site_type_symbol
_atom_site_fract_x
_atom_site_fract_y
_atom_site_fract_z
_atom_site_occupancy
Si1 Si 0.000 0.063 0.000 1
Ge1 Ge 0.000 0.563 0.636 1
Ir1 Ir 0.000 0.239 0.365 1
Ir2 Ir 0.000 0.754 0.275 1
# Mass density, g/cm³: 13.3
# Calculated volume, Å³ per cell: 121.0
# Energy relative to the lowest polymorph listed for this composition, eV per atom: 0.0154
# Total magnetization, μB/f.u.: 0.0

---

(7)
# Si2GeIr | OQMD via LeMat-Bulk | GGA-PBE | optimized geometry
data_Si2GeIr
_cell_length_a 6.218
_cell_length_b 6.218
_cell_length_c 6.218
_cell_angle_alpha 90.00
_cell_angle_beta 90.00
_cell_angle_gamma 90.00
_symmetry_space_group_name_H-M 'F -4 3 m'
_symmetry_Int_Tables_number 216
_symmetry_space_group_name_Hall 'F -4 2 3'
loop_
_atom_site_label
_atom_site_type_symbol
_atom_site_fract_x
_atom_site_fract_y
_atom_site_fract_z
_atom_site_occupancy
Si1 Si 0.000 0.000 0.000 1
Si2 Si 0.250 0.250 0.250 1
Ge1 Ge 0.000 0.000 0.500 1
Ir1 Ir 0.250 0.250 0.750 1
# Final energy, eV/atom: -5.85
# Mass density, g/cm³: 8.9
# Calculated volume, Å³ per cell: 240.4
# Total magnetization, μB/f.u.: 0.0

---

(8)
# SmSiGeIr2 | OQMD via LeMat-Bulk | GGA-PBE | optimized geometry
data_SmSiGeIr2
_cell_length_a 4.209
_cell_length_b 4.209
_cell_length_c 10.003
_cell_angle_alpha 90.00
_cell_angle_beta 90.00
_cell_angle_gamma 90.00
_symmetry_space_group_name_H-M 'P 4/n m m'
_symmetry_Int_Tables_number 129
loop_
_symmetry_equiv_pos_as_xyz
'x,y,z'
'-x,-y,-z'
'-y+1/2,x,z'
'y+1/2,-x,-z'
'-x+1/2,-y+1/2,z'
'x+1/2,y+1/2,-z'
'y,-x+1/2,z'
'-y,x+1/2,-z'
'x+1/2,-y,-z'
'-x+1/2,y,z'
'-y,-x,-z'
'y,x,z'
'-x,y+1/2,-z'
'x,-y+1/2,z'
'y+1/2,x+1/2,-z'
'-y+1/2,-x+1/2,z'
loop_
_atom_site_label
_atom_site_type_symbol
_atom_site_fract_x
_atom_site_fract_y
_atom_site_fract_z
_atom_site_occupancy
Sm1 Sm 0.250 0.250 0.249 1
Si1 Si 0.250 0.250 0.627 1
Ge1 Ge 0.250 0.750 0.000 1
Ir1 Ir 0.250 0.250 0.863 1
Ir2 Ir 0.250 0.750 0.500 1
# Final energy, eV/atom: -7.42
# Mass density, g/cm³: 11.9
# Calculated volume, Å³ per cell: 177.2
# Total magnetization, μB/f.u.: 0.0

---

(9)
# SrSiGe2Ir | OQMD via LeMat-Bulk | GGA-PBE | optimized geometry
data_SrSiGe2Ir
_cell_length_a 4.452
_cell_length_b 4.452
_cell_length_c 9.998
_cell_angle_alpha 90.00
_cell_angle_beta 90.00
_cell_angle_gamma 90.00
_symmetry_space_group_name_H-M 'I 4 m m'
_symmetry_Int_Tables_number 107
_symmetry_space_group_name_Hall 'I 4 -2'
loop_
_atom_site_label
_atom_site_type_symbol
_atom_site_fract_x
_atom_site_fract_y
_atom_site_fract_z
_atom_site_occupancy
Sr1 Sr 0.000 0.000 0.000 1
Si1 Si 0.000 0.000 0.592 1
Ge1 Ge 0.000 0.500 0.245 1
Ir1 Ir 0.000 0.000 0.360 1
# Final energy, eV/atom: -5.59
# Mass density, g/cm³: 7.6
# Calculated volume, Å³ per cell: 198.2
# Total magnetization, μB/f.u.: 0.0

---

(10)
# TbSiGeIr2 | OQMD via LeMat-Bulk | GGA-PBE | optimized geometry
data_TbSiGeIr2
_cell_length_a 4.168
_cell_length_b 4.168
_cell_length_c 10.031
_cell_angle_alpha 90.00
_cell_angle_beta 90.00
_cell_angle_gamma 90.00
_symmetry_space_group_name_H-M 'P 4/n m m'
_symmetry_Int_Tables_number 129
loop_
_symmetry_equiv_pos_as_xyz
'x,y,z'
'-x,-y,-z'
'-y+1/2,x,z'
'y+1/2,-x,-z'
'-x+1/2,-y+1/2,z'
'x+1/2,y+1/2,-z'
'y,-x+1/2,z'
'-y,x+1/2,-z'
'x+1/2,-y,-z'
'-x+1/2,y,z'
'-y,-x,-z'
'y,x,z'
'-x,y+1/2,-z'
'x,-y+1/2,z'
'y+1/2,x+1/2,-z'
'-y+1/2,-x+1/2,z'
loop_
_atom_site_label
_atom_site_type_symbol
_atom_site_fract_x
_atom_site_fract_y
_atom_site_fract_z
_atom_site_occupancy
Tb1 Tb 0.250 0.250 0.249 1
Si1 Si 0.250 0.250 0.872 1
Ge1 Ge 0.250 0.750 0.500 1
Ir1 Ir 0.250 0.250 0.639 1
Ir2 Ir 0.250 0.750 0.000 1
# Final energy, eV/atom: -7.41
# Mass density, g/cm³: 12.3
# Calculated volume, Å³ per cell: 174.3
# Total magnetization, μB/f.u.: 0.0

---

(11)
# YSiGeIr2 | OQMD via LeMat-Bulk | GGA-PBE | optimized geometry
data_YSiGeIr2
_cell_length_a 4.169
_cell_length_b 4.169
_cell_length_c 10.033
_cell_angle_alpha 90.00
_cell_angle_beta 90.00
_cell_angle_gamma 90.00
_symmetry_space_group_name_H-M 'P 4/n m m'
_symmetry_Int_Tables_number 129
loop_
_symmetry_equiv_pos_as_xyz
'x,y,z'
'-x,-y,-z'
'-y+1/2,x,z'
'y+1/2,-x,-z'
'-x+1/2,-y+1/2,z'
'x+1/2,y+1/2,-z'
'y,-x+1/2,z'
'-y,x+1/2,-z'
'x+1/2,-y,-z'
'-x+1/2,y,z'
'-y,-x,-z'
'y,x,z'
'-x,y+1/2,-z'
'x,-y+1/2,z'
'y+1/2,x+1/2,-z'
'-y+1/2,-x+1/2,z'
loop_
_atom_site_label
_atom_site_type_symbol
_atom_site_fract_x
_atom_site_fract_y
_atom_site_fract_z
_atom_site_occupancy
Y1 Y 0.250 0.250 0.249 1
Si1 Si 0.250 0.250 0.872 1
Ge1 Ge 0.250 0.750 0.500 1
Ir1 Ir 0.250 0.250 0.639 1
Ir2 Ir 0.250 0.750 0.000 1
# Final energy, eV/atom: -7.77
# Mass density, g/cm³: 10.9
# Calculated volume, Å³ per cell: 174.4
# Total magnetization, μB/f.u.: 0.0

---

(12)
# SmGeIr | OQMD via LeMat-Bulk | GGA-PBE | optimized geometry
data_SmGeIr
_cell_length_a 6.655
_cell_length_b 6.655
_cell_length_c 6.655
_cell_angle_alpha 90.00
_cell_angle_beta 90.00
_cell_angle_gamma 90.00
_symmetry_space_group_name_H-M 'F -4 3 m'
_symmetry_Int_Tables_number 216
_symmetry_space_group_name_Hall 'F -4 2 3'
loop_
_atom_site_label
_atom_site_type_symbol
_atom_site_fract_x
_atom_site_fract_y
_atom_site_fract_z
_atom_site_occupancy
Sm1 Sm 0.000 0.000 0.000 1
Ge1 Ge 0.250 0.250 0.750 1
Ir1 Ir 0.250 0.250 0.250 1
# Final energy, eV/atom: -5.83
# Mass density, g/cm³: 9.4
# Calculated volume, Å³ per cell: 294.7
# Total magnetization, μB/f.u.: 0.0

---

(13)
# Sm3Ge3Ir2 | OQMD via LeMat-Bulk | GGA-PBE | optimized geometry
data_Sm3Ge3Ir2
_cell_length_a 4.363
_cell_length_b 10.736
_cell_length_c 14.536
_cell_angle_alpha 90.00
_cell_angle_beta 90.00
_cell_angle_gamma 90.00
_symmetry_space_group_name_H-M 'C m c m'
_symmetry_Int_Tables_number 63
_symmetry_space_group_name_Hall '-C 2c 2'
loop_
_atom_site_label
_atom_site_type_symbol
_atom_site_fract_x
_atom_site_fract_y
_atom_site_fract_z
_atom_site_occupancy
Sm1 Sm 0.000 0.084 0.110 1
Sm2 Sm 0.000 0.359 0.250 1
Ge1 Ge 0.000 0.340 0.750 1
Ge2 Ge 0.000 0.371 0.035 1
Ir1 Ir 0.000 0.201 0.602 1
# Final energy, eV/atom: -6.59
# Mass density, g/cm³: 10.3
# Calculated volume, Å³ per cell: 680.9
# Total magnetization, μB/f.u.: 0.0

---

(14)
# SmGeIr | OQMD via LeMat-Bulk | GGA-PBE | optimized geometry
data_SmGeIr
_cell_length_a 6.481
_cell_length_b 6.481
_cell_length_c 6.481
_cell_angle_alpha 90.00
_cell_angle_beta 90.00
_cell_angle_gamma 90.00
_symmetry_space_group_name_H-M 'F -4 3 m'
_symmetry_Int_Tables_number 216
_symmetry_space_group_name_Hall 'F -4 2 3'
loop_
_atom_site_label
_atom_site_type_symbol
_atom_site_fract_x
_atom_site_fract_y
_atom_site_fract_z
_atom_site_occupancy
Sm1 Sm 0.000 0.000 0.000 1
Ge1 Ge 0.000 0.000 0.500 1
Ir1 Ir 0.250 0.250 0.250 1
# Final energy, eV/atom: -6.57
# Mass density, g/cm³: 10.1
# Calculated volume, Å³ per cell: 272.2
# Total magnetization, μB/f.u.: 0.0

---

(15)
# SmGeIr | OQMD via LeMat-Bulk | GGA-PBE | optimized geometry
data_SmGeIr
_cell_length_a 7.032
_cell_length_b 4.392
_cell_length_c 7.640
_cell_angle_alpha 90.00
_cell_angle_beta 90.00
_cell_angle_gamma 90.00
_symmetry_space_group_name_H-M 'P n m a'
_symmetry_Int_Tables_number 62
loop_
_symmetry_equiv_pos_as_xyz
'x,y,z'
'-x,-y,-z'
'-x+1/2,-y,z+1/2'
'x+1/2,y,-z+1/2'
'x+1/2,-y+1/2,-z+1/2'
'-x+1/2,y+1/2,z+1/2'
'-x,y+1/2,-z'
'x,-y+1/2,z'
loop_
_atom_site_label
_atom_site_type_symbol
_atom_site_fract_x
_atom_site_fract_y
_atom_site_fract_z
_atom_site_occupancy
Sm1 Sm 0.003 0.250 0.192 1
Ge1 Ge 0.203 0.250 0.604 1
Ir1 Ir 0.163 0.750 0.431 1
# Final energy, eV/atom: -6.93
# Mass density, g/cm³: 11.7
# Calculated volume, Å³ per cell: 236.0
# Total magnetization, μB/f.u.: 0.0

---

(16)
# Sm3Ge13Ir4 | OQMD via LeMat-Bulk | GGA-PBE | optimized geometry
data_Sm3Ge13Ir4
_cell_length_a 9.086
_cell_length_b 9.086
_cell_length_c 9.086
_cell_angle_alpha 90.00
_cell_angle_beta 90.00
_cell_angle_gamma 90.00
_symmetry_space_group_name_H-M 'P m -3 n'
_symmetry_Int_Tables_number 223
_symmetry_space_group_name_Hall '-P 4n 2 3'
loop_
_atom_site_label
_atom_site_type_symbol
_atom_site_fract_x
_atom_site_fract_y
_atom_site_fract_z
_atom_site_occupancy
Sm1 Sm 0.000 0.250 0.500 1
Ge1 Ge 0.000 0.000 0.000 1
Ge2 Ge 0.000 0.305 0.145 1
Ir1 Ir 0.250 0.250 0.250 1
# Final energy, eV/atom: -6.00
# Mass density, g/cm³: 9.6
# Calculated volume, Å³ per cell: 750.2
# Total magnetization, μB/f.u.: 0.0

---

(17)
# Sm6Ge2Ir | OQMD via LeMat-Bulk | GGA-PBE | optimized geometry
data_Sm6Ge2Ir
_cell_length_a 8.0115
_cell_length_b 8.0115
_cell_length_c 4.3249
_cell_angle_alpha 90.00
_cell_angle_beta 90.00
_cell_angle_gamma 120.00
_symmetry_space_group_name_H-M 'P -6 2 m'
_symmetry_Int_Tables_number 189
_symmetry_space_group_name_Hall 'P -6 -2'
loop_
_atom_site_label
_atom_site_type_symbol
_atom_site_fract_x
_atom_site_fract_y
_atom_site_fract_z
_atom_site_occupancy
Sm1 Sm 0.0000 0.4102 0.0000 1
Sm2 Sm 0.0000 0.7494 0.5000 1
Ge1 Ge 0.3333 0.6667 0.5000 1
Ir1 Ir 0.0000 0.0000 0.0000 1
# Final energy, eV/atom: -5.77
# Mass density, g/cm³: 8.6
# Calculated volume, Å³ per cell: 240.4
# Total magnetization, μB/f.u.: 0.9

---

(18)
# Sm4Ge9Ir13 | OQMD via LeMat-Bulk | GGA-PBE | optimized geometry
data_Sm4Ge9Ir13
_cell_length_a 4.035
_cell_length_b 11.332
_cell_length_c 19.573
_cell_angle_alpha 90.00
_cell_angle_beta 90.00
_cell_angle_gamma 90.00
_symmetry_space_group_name_H-M 'P m m n'
_symmetry_Int_Tables_number 59
loop_
_symmetry_equiv_pos_as_xyz
'x,y,z'
'-x,-y,-z'
'-x+1/2,-y+1/2,z'
'x+1/2,y+1/2,-z'
'x+1/2,-y,-z'
'-x+1/2,y,z'
'-x,y+1/2,-z'
'x,-y+1/2,z'
loop_
_atom_site_label
_atom_site_type_symbol
_atom_site_fract_x
_atom_site_fract_y
_atom_site_fract_z
_atom_site_occupancy
Sm1 Sm 0.250 0.059 0.208 1
Sm2 Sm 0.250 0.250 0.022 1
Sm3 Sm 0.250 0.750 0.520 1
Ge1 Ge 0.250 0.069 0.415 1
Ge2 Ge 0.250 0.121 0.731 1
Ge3 Ge 0.250 0.250 0.601 1
Ge4 Ge 0.250 0.563 0.919 1
Ge5 Ge 0.250 0.750 0.101 1
Ge6 Ge 0.250 0.750 0.733 1
Ir1 Ir 0.250 0.058 0.540 1
Ir2 Ir 0.250 0.127 0.858 1
Ir3 Ir 0.250 0.250 0.343 1
Ir4 Ir 0.250 0.549 0.047 1
Ir5 Ir 0.250 0.566 0.664 1
Ir6 Ir 0.250 0.623 0.355 1
Ir7 Ir 0.250 0.750 0.227 1
Ir8 Ir 0.250 0.750 0.858 1
# Final energy, eV/atom: -7.42
# Mass density, g/cm³: 13.9
# Calculated volume, Å³ per cell: 895.0
# Total magnetization, μB/f.u.: 0.0

---

(19)
# SmGe2Ir | OQMD via LeMat-Bulk | GGA-PBE | optimized geometry
data_SmGe2Ir
_cell_length_a 4.347
_cell_length_b 8.973
_cell_length_c 16.188
_cell_angle_alpha 90.00
_cell_angle_beta 90.00
_cell_angle_gamma 90.00
_symmetry_space_group_name_H-M 'I m m m'
_symmetry_Int_Tables_number 71
_symmetry_space_group_name_Hall '-I 2 2'
loop_
_atom_site_label
_atom_site_type_symbol
_atom_site_fract_x
_atom_site_fract_y
_atom_site_fract_z
_atom_site_occupancy
Sm1 Sm 0.000 0.000 0.207 1
Sm2 Sm 0.000 0.236 0.000 1
Ge1 Ge 0.000 0.000 0.421 1
Ge2 Ge 0.000 0.346 0.199 1
Ge3 Ge 0.000 0.500 0.423 1
Ir1 Ir 0.000 0.249 0.354 1
# Final energy, eV/atom: -6.51
# Mass density, g/cm³: 10.3
# Calculated volume, Å³ per cell: 631.5
# Total magnetization, μB/f.u.: 0.0